## Pr5TmGa4 (PBE)

Data for a relaxed structure of Pr5TmGa4.

Computed properties:
**DFT formation energy**: -0.35 eV per atom
**Space-group type**: C2/m (12)

Cell lengths 4.239, 8.357, 8.657 Å; angles 78.74, 104.17, 90.00 degrees
Element x y z (fractional)
Pr: 0.827 0.118 0.655
Pr: 0.826 0.574 0.652
Pr: 0.173 0.882 0.345
Pr: 0.174 0.426 0.348
Pr: 0.500 0.500 0.000
Ga: 0.029 0.226 0.059
Ga: 0.971 0.774 0.941
Ga: 0.639 0.169 0.277
Ga: 0.361 0.831 0.723
Tm: 0.500 0.000 0.000


## SrMgReH2 (PBE)

Data for a relaxed structure of SrMgReH2.

Computed properties:
**Space-group type**: P4/mmm (123)

Cell lengths 4.122, 4.916, 4.122 Å; angles 90.00, 90.00, 90.00 degrees
Element x y z (fractional)
H: 0.500 0.000 0.000
H: 0.000 0.000 0.500
Mg: 0.000 0.500 0.000
Sr: 0.500 0.500 0.500
Re: 0.000 0.000 0.000


## PrHo3Tl (PBE)

Data for a relaxed structure of PrHo3Tl.

Computed properties:
**DFT formation energy**: 0.12 eV per atom
**Space-group type**: P6_3/mmc (194)
**Offset from the most stable computed form**: 227 meV per atom

Cell lengths 6.130, 8.005, 8.005 Å; angles 120.00, 90.00, 90.00 degrees
Element x y z (fractional)
Ho: 0.750 0.193 0.807
Ho: 0.250 0.807 0.614
Ho: 0.750 0.614 0.807
Ho: 0.750 0.193 0.386
Ho: 0.250 0.386 0.193
Ho: 0.250 0.807 0.193
Pr: 0.250 0.333 0.667
Pr: 0.750 0.667 0.333
Tl: 0.000 0.000 0.000
Tl: 0.500 0.000 0.000


## GdHoBeZn (PBE)

Data for a relaxed structure of GdHoBeZn.

Computed properties:
**DFT formation energy**: -0.10 eV per atom
**Space-group type**: F-43m (216)

Cell lengths 4.955, 4.955, 4.955 Å; angles 60.00, 60.00, 60.00 degrees
Element x y z (fractional)
Zn: 0.500 0.500 0.500
Be: 0.000 0.000 0.000
Gd: 0.750 0.750 0.750
Ho: 0.250 0.250 0.250


no.,raw total energy (eV/atom)
1,-4.39
2,-3.75
3,-4.06
4,-6.02